[1]
Entry from the Alexandria database: crystalline Tl6SnHg8 at its relaxed geometry (PBE-GGA).

```
Tl6SnHg8
1.0
1.3804 -1.6817 8.3099
7.8512 -2.2204 2.6863
4.6581 5.6811 4.8157
Tl Hg Sn
6 8 1
direct
0.6418 0.8705 0.1632
0.1295 0.6756 0.8368
0.3244 0.6418 0.1632
0.8705 0.3244 0.1632
0.6756 0.3582 0.8368
0.3582 0.1295 0.8368
0.5122 0.1974 0.3878
0.1974 0.9026 0.3878
0.8026 0.0974 0.6122
0.7133 0.7133 0.8602
0.9026 0.5122 0.3878
0.0974 0.4878 0.6122
0.2867 0.2867 0.1398
0.4878 0.8026 0.6122
0.0000 0.0000 0.0000
```

- energy above the most stable polymorph in this dataset (eV per atom) = 0.0288
- space group = R-3, No. 148
- energy of formation (eV per atom) = 0.0378

=====

[2]
Entry from the Alexandria database: crystalline Tl17SnHg11 at its relaxed geometry (PBE-GGA).

```
Tl17SnHg11
1.0
-3.4413 -9.1962 -2.3641
0.2733 5.5226 -8.4516
9.9904 -0.5856 4.6801
Tl Hg Sn
17 11 1
direct
0.6094 0.9981 0.3194
0.7267 0.3999 0.4025
0.5973 0.3299 0.0041
0.9981 0.6094 0.3194
0.9942 0.9942 0.3262
0.3299 0.5973 0.0041
0.9937 0.9937 0.9923
0.6795 0.2775 0.6764
0.3009 0.0056 0.6015
0.3644 0.0026 0.0119
0.6926 0.6926 0.3074
0.3967 0.3967 0.7037
0.0056 0.3009 0.6015
0.0026 0.3644 0.0119
0.3999 0.7267 0.4025
0.2775 0.6795 0.6764
0.6402 0.6402 0.6329
0.8076 0.6213 0.9845
0.1786 0.3732 0.3691
0.8065 0.1843 0.1770
0.8149 0.0081 0.6456
0.1843 0.8065 0.1770
0.0082 0.6242 0.8113
0.6213 0.8076 0.9845
0.3732 0.1786 0.3691
0.6242 0.0082 0.8113
0.0081 0.8149 0.6456
0.2016 0.2016 0.8396
0.3622 0.3622 0.1912
```

- space group = Cm, No. 8
- energy of formation (eV per atom) = 0.0004

=====

Calculated volume values, unit Å³/cell, following the record order: 463, 847.
VASP energy values, unit eV per atom, following the record order: -1.3366, -1.6392.